Density functional theory data (PBE-GGA) for a relaxed structure of Ni3PtRh.

Properties
Density of states at the Fermi level = 16.1 states/eV per cell
Density = 11.45 Mg/m³
Energy of formation = 0.210 eV/atom

a = 6.7449 Å, b = 6.7449 Å, c = 4.4455 Å
α = 96.86°, β = 96.86°, γ = 43.30°
Fractional coordinates of all 10 atoms:
Ni 0.1711 0.1711 0.3017
Ni 0.3361 0.3214 0.6786
Ni 0.5785 0.0660 0.1768
Ni 0.6786 0.6639 0.3214
Ni 0.8289 0.8289 0.6983
Ni 0.9340 0.4215 0.8232
Pt 0.6034 0.3966 0.0000
Pt 0.8937 0.1063 0.5000
Rh 0.1140 0.6006 0.2018
Rh 0.3994 0.8860 0.7982